(1)
Here is a relaxed SrCa3 crystal from Alexandria. Energies are from PBEsol.

Properties
- total magnetization (μB/f.u.) = 0.002
- ΔH_f (0 K) (eV/f.u.) = 0.0
- N(E_F) (states/eV/atom) = 1.314
- relative energy among the computed polymorphs (meV per atom) = 2

Cell: 5.5682 5.5682 11.1252 Å, 90.00 90.00 90.00°
Space group I4/mmm (No. 139)
Unique sites:
Sr 0.0000 0.0000 0.0000
Ca 0.0000 0.0000 0.5000
Ca 0.0000 0.5000 0.2500

(2)
Here is a relaxed Sc2AlAg crystal from Alexandria. Energies are from PBEsol.

Properties
- total magnetization (μB/f.u.) = 0.000
- ΔH_f (0 K) (eV/f.u.) = -1.5
- N(E_F) (states/eV/atom) = 0.883

Cell: 3.2830 4.7644 4.9003 Å, 90.00 90.00 90.00°
Space group Pmm2 (No. 25)
Unique sites:
Sc 0.0000 0.0000 0.0000
Sc 0.0000 0.5000 0.4326
Al 0.5000 0.5000 0.9257
Ag 0.5000 0.0000 0.5255

(3)
Here is a relaxed KCa2Nb3O10 crystal from Alexandria. Energies are from PBEsol.

Properties
- total magnetization (μB/f.u.) = 0.000
- N(E_F) (states/eV/atom) = 0.000
- relative energy among the computed polymorphs (meV per atom) = 0
- formation energy from raw total energies (eV/atom) = -2.732

Cell: 7.7851 7.7237 14.8564 Å, 90.00 97.39 90.00°
Space group P2_1/m (No. 11)
Unique sites:
K 0.1284 0.2500 0.0064
K 0.3663 0.7500 0.9812
Ca 0.2158 0.2500 0.3541
Ca 0.2170 0.7500 0.3625
Ca 0.2885 0.7500 0.6539
Ca 0.2902 0.2500 0.6626
Nb 0.0000 0.0000 0.5000
Nb 0.0672 0.5043 0.7871
Nb 0.4268 0.0038 0.2114
Nb 0.5000 0.0000 0.5000
O 0.0442 0.7500 0.7366
O 0.0524 0.0542 0.6292
O 0.0708 0.7500 0.5250
O 0.0837 0.5487 0.9059
O 0.0939 0.2500 0.7891
O 0.1902 0.5163 0.2530
O 0.2448 0.0558 0.4789
O 0.3149 0.5239 0.7643
O 0.3849 0.0434 0.0919
O 0.4276 0.2500 0.2608
O 0.4415 0.7500 0.5246
O 0.4531 0.7500 0.2124
O 0.4893 0.5526 0.3707

(4)
Here is a relaxed ScHgIr2 crystal from Alexandria. Energies are from PBEsol.

Properties
- total magnetization (μB/f.u.) = 0.000
- ΔH_f (0 K) (eV/f.u.) = -0.4
- N(E_F) (states/eV/atom) = 1.013

Cell: 3.4698 3.4698 5.6340 Å, 90.00 90.00 90.00°
Space group P4mm (No. 99)
Unique sites:
Sc 0.0000 0.0000 0.0000
Hg 0.5000 0.5000 0.2791
Ir 0.0000 0.0000 0.5584
Ir 0.5000 0.5000 0.7589

total magnetization of number 2 (Sc2AlAg)? 0.000 μB/f.u.

Please write out number 1 again, unchanged.
Here is a relaxed SrCa3 crystal from Alexandria. Energies are from PBEsol.

Properties
- total magnetization (μB/f.u.) = 0.002
- ΔH_f (0 K) (eV/f.u.) = 0.0
- N(E_F) (states/eV/atom) = 1.314
- relative energy among the computed polymorphs (meV per atom) = 2

Cell: 5.5682 5.5682 11.1252 Å, 90.00 90.00 90.00°
Space group I4/mmm (No. 139)
Unique sites:
Sr 0.0000 0.0000 0.0000
Ca 0.0000 0.0000 0.5000
Ca 0.0000 0.5000 0.2500

What is the formula in the fourth record? ScHgIr2